1.
The following is a DFT calculation (GGA-PBE) of a relaxed structure of Rb12In3H5.

Cell lengths 16.8445, 16.8445, 16.8445 Å; angles 109.47, 109.47, 109.47 degrees
Positions (direct):
Rb (0.0164, 0.1988, 0.1154)
Rb (0.0164, 0.3176, 0.9010)
Rb (0.0834, 0.6988, 0.6824)
Rb (0.0834, 0.8846, 0.4010)
Rb (0.0990, 0.6154, 0.4166)
Rb (0.0990, 0.9836, 0.6824)
Rb (0.1154, 0.0164, 0.1988)
Rb (0.1154, 0.5990, 0.9166)
Rb (0.1824, 0.1988, 0.5834)
Rb (0.1824, 0.4836, 0.5990)
Rb (0.1988, 0.1154, 0.0164)
Rb (0.1988, 0.5834, 0.1824)
Rb (0.3012, 0.3176, 0.9166)
Rb (0.3012, 0.4836, 0.3846)
Rb (0.3176, 0.9010, 0.0164)
Rb (0.3176, 0.9166, 0.3012)
Rb (0.3846, 0.3012, 0.4836)
Rb (0.3846, 0.5834, 0.9010)
Rb (0.4010, 0.0834, 0.8846)
Rb (0.4010, 0.8176, 0.5164)
Rb (0.4166, 0.0990, 0.6154)
Rb (0.4166, 0.8176, 0.8012)
Rb (0.4836, 0.3846, 0.3012)
Rb (0.4836, 0.5990, 0.1824)
Rb (0.5164, 0.4010, 0.8176)
Rb (0.5164, 0.6154, 0.6988)
Rb (0.5834, 0.1824, 0.1988)
Rb (0.5834, 0.9010, 0.3846)
Rb (0.5990, 0.1824, 0.4836)
Rb (0.5990, 0.9166, 0.1154)
Rb (0.6154, 0.4166, 0.0990)
Rb (0.6154, 0.6988, 0.5164)
Rb (0.6824, 0.0834, 0.6988)
Rb (0.6824, 0.0990, 0.9836)
Rb (0.6988, 0.5164, 0.6154)
Rb (0.6988, 0.6824, 0.0834)
Rb (0.8012, 0.4166, 0.8176)
Rb (0.8012, 0.8846, 0.9836)
Rb (0.8176, 0.5164, 0.4010)
Rb (0.8176, 0.8012, 0.4166)
Rb (0.8846, 0.4010, 0.0834)
Rb (0.8846, 0.9836, 0.8012)
Rb (0.9010, 0.0164, 0.3176)
Rb (0.9010, 0.3846, 0.5834)
Rb (0.9166, 0.1154, 0.5990)
Rb (0.9166, 0.3012, 0.3176)
Rb (0.9836, 0.6824, 0.0990)
Rb (0.9836, 0.8012, 0.8846)
In (0.1250, 0.2500, 0.3750)
In (0.1250, 0.3750, 0.7500)
In (0.2500, 0.3750, 0.1250)
In (0.2500, 0.8750, 0.6250)
In (0.3750, 0.1250, 0.2500)
In (0.3750, 0.7500, 0.1250)
In (0.6250, 0.2500, 0.8750)
In (0.6250, 0.8750, 0.7500)
In (0.7500, 0.1250, 0.3750)
In (0.7500, 0.6250, 0.8750)
In (0.8750, 0.6250, 0.2500)
In (0.8750, 0.7500, 0.6250)
H (0.0000, 0.0000, 0.0000)
H (0.0000, 0.0000, 0.5000)
H (0.0000, 0.5000, 0.0000)
H (0.0000, 0.5000, 0.5000)
H (0.1250, 0.7500, 0.8750)
H (0.1250, 0.8750, 0.2500)
H (0.2500, 0.1250, 0.8750)
H (0.2500, 0.6250, 0.3750)
H (0.3750, 0.2500, 0.6250)
H (0.3750, 0.6250, 0.7500)
H (0.5000, 0.0000, 0.0000)
H (0.5000, 0.0000, 0.5000)
H (0.5000, 0.5000, 0.0000)
H (0.5000, 0.5000, 0.5000)
H (0.6250, 0.3750, 0.2500)
H (0.6250, 0.7500, 0.3750)
H (0.7500, 0.3750, 0.6250)
H (0.7500, 0.8750, 0.1250)
H (0.8750, 0.1250, 0.7500)
H (0.8750, 0.2500, 0.1250)

* total magnetic moment: 4.5 μB per formula unit
* VASP energy: -1.783 eV/atom

---

2.
The following is a DFT calculation (GGA-PBE) of a relaxed structure of Tc2AgTe.

Cell lengths 4.9684, 4.9684, 4.9684 Å; angles 131.15, 131.15, 71.57 degrees
Positions (direct):
Tc (0.0000, 0.0000, 0.0000)
Tc (0.7500, 0.2500, 0.5000)
Ag (0.5000, 0.5000, 0.0000)
Te (0.2500, 0.7500, 0.5000)

* energy relative to the elements, uncorrected: 645 meV/atom
* total magnetic moment: 0.0 μB per formula unit

---

3.
The following is a DFT calculation (GGA-PBE) of a relaxed structure of Tb6PmNdY2.

Cell lengths 9.0264, 9.0264, 9.0388 Å; angles 90.89, 90.89, 116.55 degrees
Positions (direct):
Tb (0.0231, 0.4704, 0.8189)
Tb (0.0810, 0.7753, 0.5702)
Tb (0.2247, 0.9190, 0.9298)
Tb (0.2799, 0.5626, 0.4093)
Tb (0.4374, 0.7201, 0.0907)
Tb (0.4704, 0.0231, 0.3189)
Tb (0.5296, 0.9769, 0.6811)
Tb (0.5626, 0.2799, 0.9093)
Tb (0.7201, 0.4374, 0.5907)
Tb (0.7753, 0.0810, 0.0702)
Tb (0.9190, 0.2247, 0.4298)
Tb (0.9769, 0.5296, 0.1811)
Pm (0.0591, 0.9409, 0.2500)
Pm (0.9409, 0.0591, 0.7500)
Nd (0.4293, 0.5707, 0.7500)
Nd (0.5707, 0.4293, 0.2500)
Y (0.2006, 0.3015, 0.0641)
Y (0.3015, 0.2006, 0.5641)
Y (0.6985, 0.7994, 0.4359)
Y (0.7994, 0.6985, 0.9359)

* total magnetic moment: 0.0 μB per formula unit
* VASP energy: -4.900 eV/atom

---

4.
The following is a DFT calculation (GGA-PBE) of a relaxed structure of Si2SbS6.

Cell lengths 8.3190, 8.3190, 6.2288 Å; angles 100.54, 100.54, 85.81 degrees
Positions (direct):
Si (0.1226, 0.2769, 0.2991)
Si (0.2769, 0.1226, 0.7991)
Si (0.7231, 0.8774, 0.2009)
Si (0.8774, 0.7231, 0.7009)
Sb (0.3643, 0.6357, 0.7500)
Sb (0.6357, 0.3643, 0.2500)
S (0.0627, 0.2143, 0.5936)
S (0.0974, 0.6365, 0.8883)
S (0.2143, 0.0627, 0.0936)
S (0.2965, 0.4633, 0.3404)
S (0.3635, 0.9026, 0.6117)
S (0.4633, 0.2965, 0.8404)
S (0.5367, 0.7035, 0.1596)
S (0.6365, 0.0974, 0.3883)
S (0.7035, 0.5367, 0.6596)
S (0.7857, 0.9373, 0.9064)
S (0.9026, 0.3635, 0.1117)
S (0.9373, 0.7857, 0.4064)

* energy relative to the elements, uncorrected: -355 meV/atom
* total magnetic moment: 0.0 μB per formula unit

---

5.
The following is a DFT calculation (GGA-PBE) of a relaxed structure of MnReAs2Br.

Cell lengths 4.7459, 4.7459, 5.5199 Å; angles 90.00, 90.00, 90.00 degrees
Positions (direct):
Mn (0.0000, 0.0000, 0.0000)
Re (0.5000, 0.5000, 0.5000)
As (0.0000, 0.5000, 0.5000)
As (0.5000, 0.0000, 0.5000)
Br (0.5000, 0.5000, 0.0000)

* energy relative to the elements, uncorrected: 747 meV/atom
* total magnetic moment: 4.9 μB per formula unit
* polymorph energy (0 for the lowest one): 0 meV/atom

---

6.
The following is a DFT calculation (GGA-PBE) of a relaxed structure of K2ZnBi.

Cell lengths 7.0714, 7.0714, 6.1537 Å; angles 90.00, 90.00, 78.52 degrees
Positions (direct):
K (0.0244, 0.3245, 0.2500)
K (0.3245, 0.0244, 0.7500)
K (0.6755, 0.9756, 0.2500)
K (0.9756, 0.6755, 0.7500)
Zn (0.5000, 0.5000, 0.0000)
Zn (0.5000, 0.5000, 0.5000)
Bi (0.2317, 0.7683, 0.2500)
Bi (0.7683, 0.2317, 0.7500)

* total magnetic moment: 0.0 μB per formula unit
* polymorph energy (0 for the lowest one): 24 meV/atom

---

7.
The following is a DFT calculation (GGA-PBE) of a relaxed structure of Pm2DyHo4Sc.

Cell lengths 9.3931, 9.3931, 9.3931 Å; angles 137.97, 103.13, 91.71 degrees
Positions (direct):
Pm (0.0000, 0.0000, 0.0000)
Pm (0.5000, 0.0000, 0.0000)
Pm (0.5000, 0.0000, 0.5000)
Pm (0.5000, 0.5000, 0.5000)
Dy (0.0000, 0.5000, 0.5000)
Dy (0.5000, 0.5000, 0.0000)
Ho (0.2342, 0.7491, 0.4851)
Ho (0.2361, 0.2509, 0.9851)
Ho (0.2368, 0.2375, 0.5006)
Ho (0.2368, 0.7362, 0.9994)
Ho (0.7632, 0.2638, 0.0006)
Ho (0.7632, 0.7625, 0.4994)
Ho (0.7639, 0.7491, 0.0149)
Ho (0.7658, 0.2509, 0.5149)
Sc (0.0000, 0.0000, 0.5000)
Sc (0.0000, 0.5000, 0.0000)

* total magnetic moment: 2.5 μB per formula unit
* VASP energy: -4.413 eV/atom